Entry 1:
4
Lattice="2.696 0.000 0.000 1.348 2.335 0.000 1.348 0.778 8.797" Properties=species:S:1:pos:R:3 comment="PtRh3 (SCAN, PBEsol geometry)" total_magnetization_mub_per_fu=0.000 dos_at_fermi_per_ev_fu=4.8 formation_enthalpy_0k_ev_per_atom=-0.01 rho_g_cm3=15.107 pbc="T T T"
Rh 2.696 1.557 4.398
Pt 0.000 0.000 0.000
Rh 1.348 0.778 2.254
Rh 4.044 2.335 6.543

=====

Entry 2:
4
Lattice="2.696 0.000 0.000 0.000 4.665 0.000 0.000 -1.556 4.398" Properties=species:S:1:pos:R:3 comment="PtRh3 (SCAN, PBEsol geometry)" total_magnetization_mub_per_fu=0.000 dos_at_fermi_per_ev_fu=5.2 formation_enthalpy_0k_ev_per_atom=-0.02 rho_g_cm3=15.124 pbc="T T T"
Rh 1.348 2.332 0.000
Rh 1.348 -0.778 2.199
Pt 0.000 0.000 0.000
Rh 0.000 1.555 2.199

=====

Entry 3:
6
Lattice="4.386 0.000 0.000 0.000 4.663 0.000 0.000 -2.332 4.039" Properties=species:S:1:pos:R:3 comment="PtRh5 (SCAN, PBEsol geometry)" total_magnetization_mub_per_fu=0.005 dos_at_fermi_per_ev_fu=9.6 formation_enthalpy_0k_ev_per_atom=0.05 rho_g_cm3=14.264 pbc="T T T"
Pt 2.193 0.000 0.000
Rh 0.000 -1.547 2.679
Rh 2.193 0.000 2.692
Rh 0.000 0.785 1.360
Rh 2.193 2.332 1.346
Rh 0.000 3.093 0.000

=====

Entry 4:
4
Lattice="2.743 0.000 0.000 0.000 3.879 0.000 0.000 0.000 5.482" Properties=species:S:1:pos:R:3 comment="Pt3Rh (SCAN, PBEsol geometry)" total_magnetization_mub_per_fu=1.658 dos_at_fermi_per_ev_fu=5.6 formation_enthalpy_0k_ev_per_atom=0.00 rho_g_cm3=19.586 pbc="T T T"
Pt 1.372 1.939 2.741
Pt 0.000 0.000 1.346
Rh 1.372 1.939 0.000
Pt 0.000 0.000 4.137

=====

Entry 5:
16
Lattice="4.739 0.000 0.000 0.000 5.467 0.000 0.000 0.000 9.036" Properties=species:S:1:pos:R:3 comment="Pt3Rh (SCAN, PBEsol geometry)" total_magnetization_mub_per_fu=0.002 dos_at_fermi_per_ev_fu=6.7 formation_enthalpy_0k_ev_per_atom=0.05 rho_g_cm3=19.526 pbc="T T T"
Pt 1.193 3.417 4.529
Pt 1.177 0.684 4.507
Pt 1.985 4.795 2.259
Rh 1.988 2.034 2.259
Pt 3.546 2.050 4.507
Pt 3.546 2.050 0.011
Rh 0.381 4.768 6.777
Pt 4.355 3.405 2.259
Pt 1.177 0.684 0.011
Pt 3.563 4.783 9.025
Pt 1.193 3.417 9.025
Pt 0.384 2.062 6.777
Pt 3.563 4.783 4.529
Rh 2.751 3.432 6.777
Pt 2.754 0.671 6.777
Rh 4.358 0.699 2.259

=====

Entry 6:
6
Lattice="-2.632 0.059 0.522 -0.512 -0.880 -2.483 0.499 -10.784 3.721" Properties=species:S:1:pos:R:3 comment="PtRh5 (SCAN, PBEsol geometry)" total_magnetization_mub_per_fu=0.000 dos_at_fermi_per_ev_fu=7.2 formation_enthalpy_0k_ev_per_atom=-0.01 rho_g_cm3=14.328 pbc="T T T"
Rh 0.413 -8.921 3.079
Rh -1.240 -7.585 1.495
Rh 0.086 -1.862 0.643
Pt -1.572 -0.411 -0.980
Rh -1.405 -4.021 0.266
Rh 0.249 -5.392 1.861

=====

Entry 7:
8
Lattice="-3.454 -4.070 0.526 -0.094 -3.927 -3.652 1.793 -4.892 1.275" Properties=species:S:1:pos:R:3 comment="PtRh7 (SCAN, PBEsol geometry)" total_magnetization_mub_per_fu=0.000 dos_at_fermi_per_ev_fu=9.3 formation_enthalpy_0k_ev_per_atom=-0.01 rho_g_cm3=13.930 pbc="T T T"
Rh -0.878 -6.444 -0.925
Pt 0.000 0.000 0.000
Rh -1.727 -2.035 0.263
Rh -1.774 -3.998 -1.563
Rh -0.831 -4.481 0.901
Rh -0.047 -1.964 -1.826
Rh 0.850 -4.410 -1.188
Rh 0.896 -2.446 0.638

=====

Entry 8:
4
Lattice="-2.072 -0.566 1.717 2.291 -3.879 1.485 1.237 3.693 2.709" Properties=species:S:1:pos:R:3 comment="Pt3Rh (SCAN, PBEsol geometry)" total_magnetization_mub_per_fu=1.031 dos_at_fermi_per_ev_fu=6.2 formation_enthalpy_0k_ev_per_atom=0.01 rho_g_cm3=19.578 pbc="T T T"
Pt 0.110 -2.222 1.601
Rh 1.764 -0.093 2.097
Pt -0.417 1.563 2.213
Pt 0.000 0.000 0.000

=====

Entry 9:
4
Lattice="3.320 0.000 0.000 0.000 3.320 0.000 0.000 0.000 5.365" Properties=species:S:1:pos:R:3 comment="Pt3Rh (SCAN, PBEsol geometry)" total_magnetization_mub_per_fu=0.000 dos_at_fermi_per_ev_fu=3.3 formation_enthalpy_0k_ev_per_atom=0.00 rho_g_cm3=19.319 pbc="T T T"
Pt 0.000 0.000 4.003
Rh 1.660 1.660 2.683
Pt 1.660 1.660 0.000
Pt 0.000 0.000 1.362

=====

Entry 10:
4
Lattice="2.748 0.000 0.000 -1.374 4.542 0.000 0.000 -0.831 4.676" Properties=species:S:1:pos:R:3 comment="Pt3Rh (SCAN, PBEsol geometry)" total_magnetization_mub_per_fu=1.660 dos_at_fermi_per_ev_fu=5.5 formation_enthalpy_0k_ev_per_atom=0.00 rho_g_cm3=19.577 pbc="T T T"
Rh 1.374 0.000 0.000
Pt 1.374 1.661 3.522
Pt 0.000 -0.415 2.338
Pt 0.000 2.049 1.154

=====

Entry 11:
9
Lattice="-0.913 3.502 1.110 -4.640 1.882 -3.298 -4.060 -0.405 4.394" Properties=species:S:1:pos:R:3 comment="PtRh8 (SCAN, PBEsol geometry)" total_magnetization_mub_per_fu=0.000 dos_at_fermi_per_ev_fu=10.2 formation_enthalpy_0k_ev_per_atom=-0.02 rho_g_cm3=13.797 pbc="T T T"
Rh -4.446 1.115 -0.718
Rh -3.525 2.823 1.105
Rh -6.088 2.157 1.101
Rh -4.255 0.362 1.814
Rh -1.868 1.795 -0.745
Rh -1.672 1.024 1.850
Rh -3.301 2.073 3.654
Pt 0.000 0.000 0.000
Rh -3.685 3.589 -1.444

=====

Entry 12:
4
Lattice="-0.251 -2.488 2.964 3.520 -1.380 -0.861 1.607 2.634 2.348" Properties=species:S:1:pos:R:3 comment="Pt3Rh (SCAN, PBEsol geometry)" total_magnetization_mub_per_fu=1.191 dos_at_fermi_per_ev_fu=6.4 formation_enthalpy_0k_ev_per_atom=0.00 rho_g_cm3=19.595 pbc="T T T"
Rh 2.438 -0.617 2.226
Pt -0.126 -1.244 1.482
Pt 0.804 1.317 1.174
Pt 1.760 -0.690 -0.430

=====

Entry 13:
4
Lattice="-0.537 -1.183 -2.364 -0.482 -1.314 2.306 -8.170 3.333 0.190" Properties=species:S:1:pos:R:3 comment="PtRh3 (SCAN, PBEsol geometry)" total_magnetization_mub_per_fu=0.001 dos_at_fermi_per_ev_fu=6.4 formation_enthalpy_0k_ev_per_atom=0.07 rho_g_cm3=15.040 pbc="T T T"
Rh -4.085 1.667 0.095
Rh -2.615 -0.371 -0.759
Rh -6.593 1.252 -0.666
Pt 0.000 0.000 0.000

=====

Entry 14:
4
Lattice="2.689 0.000 0.000 0.000 2.689 0.000 0.000 0.000 7.631" Properties=species:S:1:pos:R:3 comment="PtRh3 (SCAN, PBEsol geometry)" total_magnetization_mub_per_fu=0.000 dos_at_fermi_per_ev_fu=5.0 formation_enthalpy_0k_ev_per_atom=-0.02 rho_g_cm3=15.159 pbc="T T T"
Pt 0.000 0.000 0.000
Rh 1.345 1.345 1.969
Rh 1.345 1.345 5.662
Rh 0.000 0.000 3.815

=====

Entry 15:
5
Lattice="-3.112 -0.678 2.231 -1.294 -4.574 0.195 1.035 -0.925 4.551" Properties=species:S:1:pos:R:3 comment="Pt4Rh (SCAN, PBEsol geometry)" total_magnetization_mub_per_fu=0.003 dos_at_fermi_per_ev_fu=8.8 formation_enthalpy_0k_ev_per_atom=0.01 rho_g_cm3=20.001 pbc="T T T"
Pt -0.939 -2.144 1.428
Pt -2.432 -4.033 5.549
Pt -1.503 -1.868 4.114
Rh 0.000 0.000 0.000
Pt -1.868 -4.309 2.863

=====

Entry 16:
8
Lattice="-1.989 2.515 -3.310 -1.478 -3.935 -2.102 -4.582 0.178 2.888" Properties=species:S:1:pos:R:3 comment="Pt3Rh (SCAN, PBEsol geometry)" total_magnetization_mub_per_fu=0.010 dos_at_fermi_per_ev_fu=7.2 formation_enthalpy_0k_ev_per_atom=0.08 rho_g_cm3=19.474 pbc="T T T"
Pt -3.272 -2.523 0.049
Rh -3.779 0.032 -0.913
Rh -0.984 -2.620 -1.400
Pt -3.687 -0.523 1.817
Pt -3.374 -1.975 -2.682
Pt -1.491 -0.065 -2.362
Pt -5.658 -1.886 -1.242
Pt -1.389 -0.612 0.369

=====

Entry 17:
4
Lattice="3.810 0.000 0.000 0.000 3.810 0.000 0.000 0.000 3.810" Properties=species:S:1:pos:R:3 comment="PtRh3 (SCAN, PBEsol geometry)" total_magnetization_mub_per_fu=0.007 dos_at_fermi_per_ev_fu=5.0 formation_enthalpy_0k_ev_per_atom=-0.03 rho_g_cm3=15.131 pbc="T T T"
Pt 0.000 0.000 0.000
Rh 0.000 1.905 1.905
Rh 1.905 0.000 1.905
Rh 1.905 1.905 0.000

=====

Entry 18:
4
Lattice="2.714 0.000 0.000 0.000 4.603 0.000 0.000 0.000 4.700" Properties=species:S:1:pos:R:3 comment="Pt3Rh (SCAN, PBEsol geometry)" total_magnetization_mub_per_fu=1.498 dos_at_fermi_per_ev_fu=6.0 formation_enthalpy_0k_ev_per_atom=0.09 rho_g_cm3=19.466 pbc="T T T"
Rh 0.000 2.301 1.561
Pt 0.000 0.000 0.020
Pt 1.357 0.000 2.348
Pt 1.357 2.301 3.905

=====

Entry 19:
8
Lattice="3.834 0.000 0.000 0.000 5.407 0.002 0.000 0.000 5.407" Properties=species:S:1:pos:R:3 comment="Pt3Rh5 (SCAN, PBEsol geometry)" total_magnetization_mub_per_fu=0.000 dos_at_fermi_per_ev_fu=10.8 formation_enthalpy_0k_ev_per_atom=-0.03 rho_g_cm3=16.292 pbc="T T T"
Pt 1.917 1.336 4.072
Rh 1.917 1.340 1.341
Pt 1.917 4.071 1.338
Rh 0.000 2.704 0.001
Rh 0.000 0.000 0.000
Rh 1.917 4.067 4.069
Pt 0.000 2.703 2.705
Rh 0.000 0.000 2.704

=====

Entry 20:
4
Lattice="-0.021 2.175 1.626 -2.353 -2.455 3.254 5.166 -1.210 -0.582" Properties=species:S:1:pos:R:3 comment="Pt3Rh (SCAN, PBEsol geometry)" total_magnetization_mub_per_fu=1.764 dos_at_fermi_per_ev_fu=6.1 formation_enthalpy_0k_ev_per_atom=0.08 rho_g_cm3=19.463 pbc="T T T"
Pt -1.972 -0.960 3.526
Pt 0.785 -0.809 3.360
Pt 2.008 -0.681 0.937
Rh -0.784 -0.818 1.084